Record 1
Density functional theory data (PBE-GGA) for a relaxed structure of Dy4AsHC2.

Symmetry: Cmcm, No. 63
Total energy, eV/atom: -6.31

Lattice parameters (Å, degrees): 3.759 6.375 12.649 90.00 90.00 107.15
Fractional positions:
H 0.845 0.689 0.750
C 0.634 0.269 0.060
C 0.634 0.269 0.440
As 0.887 0.773 0.250
C 0.366 0.731 0.560
Dy 0.264 0.528 0.392
Dy 0.000 0.000 0.500
Dy 0.000 0.000 0.000
As 0.113 0.227 0.750
Dy 0.566 0.132 0.250
Dy 0.434 0.868 0.750
C 0.366 0.731 0.940
Dy 0.736 0.472 0.892
Dy 0.736 0.472 0.608
H 0.155 0.311 0.250
Dy 0.264 0.528 0.108

=====

Record 2
Density functional theory data (PBE-GGA) for a relaxed structure of DyAsRu2C.

DFT formation energy, eV per atom: -0.53
Symmetry: Cmcm, No. 63
Total energy, eV/atom: -7.94

Lattice parameters (Å, degrees): 3.880 5.927 7.265 90.00 90.00 109.11
Fractional positions:
As 0.732 0.464 0.750
Dy 0.457 0.913 0.750
Dy 0.543 0.087 0.250
Ru 0.838 0.676 0.053
Ru 0.162 0.324 0.553
C 0.000 0.000 0.000
Ru 0.838 0.676 0.447
As 0.268 0.536 0.250
Ru 0.162 0.324 0.947
C 0.000 0.000 0.500

=====

Record 3
Density functional theory data (PBE-GGA) for a relaxed structure of Dy8As3CS3.

Uncorrected formation energy, kcal/mol of atoms: -33.834
Symmetry: R-3m, No. 166
Total energy, eV/atom: -6.29

Lattice parameters (Å, degrees): 7.922 7.921 7.974 119.78 90.00 120.00
Fractional positions:
S 0.500 0.000 0.500
Dy 0.227 0.454 0.724
C 0.000 0.000 0.500
S 0.000 0.500 0.500
Dy 0.749 0.498 0.748
Dy 0.227 0.997 0.724
Dy 0.773 0.003 0.276
Dy 0.230 0.003 0.276
As 0.000 0.500 0.000
S 0.500 0.500 0.500
Dy 0.773 0.546 0.276
Dy 0.770 0.997 0.724
As 0.000 0.000 0.000
As 0.500 0.500 0.000
Dy 0.251 0.502 0.252

=====

Record 4
Density functional theory data (PBE-GGA) for a relaxed structure of Dy6AsC2S3.

Uncorrected formation energy, kcal/mol of atoms: -33.189
Symmetry: C2/m, No. 12
Total energy, eV/atom: -6.70

Lattice parameters (Å, degrees): 3.817 7.833 8.651 103.55 102.74 90.00
Fractional positions:
S 0.163 0.833 0.326
Dy 0.324 0.436 0.647
S 0.837 0.167 0.674
Dy 0.671 0.119 0.343
Dy 0.016 0.262 0.032
Dy 0.984 0.738 0.968
C 0.170 0.338 0.339
S 0.500 0.500 0.000
As 0.500 0.000 0.000
Dy 0.676 0.564 0.353
Dy 0.329 0.881 0.657
C 0.830 0.662 0.661

=====

Record 5
Density functional theory data (PBE-GGA) for a relaxed structure of Dy6As2CSe3.

Uncorrected formation energy, kcal/mol of atoms: -35.020
Symmetry: C2/m, No. 12
Total energy, eV/atom: -6.23

Lattice parameters (Å, degrees): 3.975 8.153 9.061 103.53 102.67 90.00
Fractional positions:
Dy 0.354 0.923 0.709
Dy 0.999 0.789 0.999
As 0.166 0.332 0.332
Se 0.170 0.837 0.340
Dy 0.334 0.422 0.667
Dy 0.646 0.077 0.291
Dy 0.666 0.578 0.333
Dy 0.001 0.211 0.001
Se 0.830 0.163 0.660
C 0.500 0.000 0.000
As 0.834 0.668 0.668
Se 0.500 0.500 0.000

=====

Record 6
Density functional theory data (PBE-GGA) for a relaxed structure of Dy6AsC2Se3.

Uncorrected formation energy, kcal/mol of atoms: -30.817
Symmetry: C2/m, No. 12
Total energy, eV/atom: -6.43

Lattice parameters (Å, degrees): 3.873 8.035 8.872 104.59 102.61 90.00
Fractional positions:
As 0.500 0.000 0.000
Dy 0.020 0.258 0.040
Se 0.838 0.168 0.677
Dy 0.330 0.876 0.660
C 0.170 0.338 0.340
Se 0.162 0.832 0.323
C 0.830 0.662 0.660
Dy 0.321 0.440 0.643
Dy 0.980 0.742 0.960
Dy 0.679 0.560 0.357
Dy 0.670 0.124 0.340
Se 0.500 0.500 0.000

=====

Record 7
Density functional theory data (PBE-GGA) for a relaxed structure of Dy8Te4As3C.

Uncorrected formation energy, kcal/mol of atoms: -30.631
Symmetry: R-3m, No. 166
Total energy, eV/atom: -5.86

Lattice parameters (Å, degrees): 8.253 8.489 8.252 119.09 120.00 90.00
Fractional positions:
Te 0.500 0.000 0.000
Dy 0.740 0.719 0.479
Dy 0.260 0.281 0.521
Te 0.000 0.000 0.500
As 0.500 0.500 0.000
As 0.500 0.500 0.500
Dy 0.221 0.705 0.983
Dy 0.779 0.295 0.557
Dy 0.762 0.705 0.983
As 0.000 0.500 0.500
Dy 0.221 0.705 0.443
Te 0.500 0.000 0.500
Dy 0.238 0.295 0.017
C 0.000 0.500 0.000
Dy 0.779 0.295 0.017
Te 0.000 0.000 0.000

=====

Record 8
Density functional theory data (PBE-GGA) for a relaxed structure of Er7As2C2.

DFT formation energy, eV per atom: -0.41
Symmetry: C2/m, No. 12
Total energy, eV/atom: -5.84

Lattice parameters (Å, degrees): 6.966 6.893 6.893 113.22 94.38 94.38
Fractional positions:
Er 0.208 0.417 0.417
Er 0.792 0.583 0.583
Er 0.765 0.058 0.438
Er 0.235 0.942 0.562
Er 0.000 0.000 0.000
C 0.877 0.284 0.284
As 0.500 0.680 0.320
As 0.500 0.320 0.680
Er 0.765 0.438 0.058
Er 0.235 0.562 0.942
C 0.123 0.716 0.716